Entry from Alexandria via LeMat-Bulk: crystalline CeScP2Ir5 at its relaxed geometry (GGA-PBE).

Values from the calculation:
**VASP energy**: -73.173 eV/cell
**Space-group type**: P4/mmm (123)
**Formation enthalpy at 0 K**: -0.643 eV/atom

a b c (Å): 4.027 4.027 10.584
angles (deg): 90.00 90.00 90.00
Positions (direct):
Ce1 0.000 0.000 0.000
Sc1 0.000 0.000 0.500
P1 0.500 0.500 0.217
P2 0.500 0.500 0.783
Ir1 0.000 0.500 0.317
Ir2 0.000 0.500 0.683
Ir3 0.500 0.000 0.317
Ir4 0.500 0.000 0.683
Ir5 0.500 0.500 0.000